# 1
Below is crystalline Sr4TeRh at its relaxed geometry, with properties calculated at the PBEsol level.

Lattice parameters (Å, degrees): 9.1967 9.1967 9.1967 90.00 90.00 90.00
Space group F-43m (No. 216)
Unique sites:
Sr 0.1244 0.1244 0.1244 (multiplicity 16)
Te 0.0000 0.0000 0.5000 (multiplicity 4)
Rh 0.2500 0.2500 0.7500 (multiplicity 4)

Results
As for the density of states at the Fermi level: 0.884 states/eV per atom. For the total magnetic moment, the calculation gives 0.0 μB per formula unit. The value obtained for the formation energy from raw total energies is 467 meV/atom. Its calculated volume is 777.85 Å³/cell. The calculated density comes out at 4.961 Mg/m³.

# 2
Below is crystalline SrTeRh2 at its relaxed geometry, with properties calculated at the PBEsol level.

Lattice parameters (Å, degrees): 4.0448 4.5314 5.4902 90.00 90.00 90.00
Space group Pmmm (No. 47)
Unique sites:
Sr 0.0000 0.0000 0.0000 (multiplicity 1)
Te 0.0000 0.5000 0.5000 (multiplicity 1)
Rh 0.5000 0.5000 0.2283 (multiplicity 2)

Results
As for the density of states at the Fermi level: 1.171 states/eV per atom. As for the excess energy over the best structure of this formula in the dataset: 0.0 kJ/mol of atoms. For the total magnetic moment, the calculation gives 0.5 μB per formula unit. The value obtained for the formation energy from raw total energies is -161 meV/atom. Its calculated volume is 100.63 Å³/cell. The calculated density comes out at 6.948 Mg/m³.

# 3
Below is crystalline SrTeRh at its relaxed geometry, with properties calculated at the PBEsol level.

Lattice parameters (Å, degrees): 4.4386 4.4386 4.4462 90.00 90.00 120.00
Space group P-6m2 (No. 187)
Unique sites:
Sr 0.0000 0.0000 0.0000 (multiplicity 1)
Te 0.3333 0.6667 0.5000 (multiplicity 1)
Rh 0.6667 0.3333 0.5000 (multiplicity 1)

Results
As for the density of states at the Fermi level: 0.675 states/eV per atom. For the total magnetic moment, the calculation gives 0.0 μB per formula unit. The value obtained for the formation energy from raw total energies is -870 meV/atom. Its calculated volume is 75.86 Å³/cell. The calculated density comes out at 6.964 Mg/m³.

# 4
Below is crystalline SrTeRh2 at its relaxed geometry, with properties calculated at the PBEsol level.

Lattice parameters (Å, degrees): 6.7098 6.7098 6.7098 90.00 90.00 90.00
Space group Fm-3m (No. 225)
Unique sites:
Sr 0.0000 0.0000 0.0000 (multiplicity 4)
Te 0.0000 0.0000 0.5000 (multiplicity 4)
Rh 0.2500 0.2500 0.2500 (multiplicity 8)

Results
As for the density of states at the Fermi level: 1.681 states/eV per atom. As for the excess energy over the best structure of this formula in the dataset: 3.0 kJ/mol of atoms. For the total magnetic moment, the calculation gives 0.0 μB per formula unit. The value obtained for the formation energy from raw total energies is -130 meV/atom. Its calculated volume is 302.08 Å³/cell. The calculated density comes out at 9.258 Mg/m³.

# 5
Below is crystalline SrTl2Rh at its relaxed geometry, with properties calculated at the PBEsol level.

Lattice parameters (Å, degrees): 4.6721 4.6721 16.3614 90.00 90.00 120.00
Space group R3m (No. 160, hexagonal axes)
Unique sites:
Sr 0.0000 0.0000 0.0000 (multiplicity 3)
Tl 0.0000 0.0000 0.2132 (multiplicity 3)
Tl 0.0000 0.0000 0.4482 (multiplicity 3)
Rh 0.0000 0.0000 0.8136 (multiplicity 3)

Results
As for the density of states at the Fermi level: 0.526 states/eV per atom. For the total magnetic moment, the calculation gives 0.0 μB per formula unit. Its calculated volume is 309.29 Å³/cell. The calculated density comes out at 9.653 Mg/m³. The value obtained for the formation energy is -0.205 eV/atom.

# 6
Below is crystalline SrTl2Rh at its relaxed geometry, with properties calculated at the PBEsol level.

Lattice parameters (Å, degrees): 4.7584 4.7584 7.9874 90.00 90.00 90.00
Space group I4/mmm (No. 139)
Unique sites:
Sr 0.0000 0.0000 0.0000 (multiplicity 2)
Tl 0.0000 0.5000 0.2500 (multiplicity 4)
Rh 0.0000 0.0000 0.5000 (multiplicity 2)

Results
As for the density of states at the Fermi level: 0.484 states/eV per atom. For the total magnetic moment, the calculation gives 0.0 μB per formula unit. Its calculated volume is 180.85 Å³/cell. The calculated density comes out at 11.005 Mg/m³. The value obtained for the formation energy is -0.100 eV/atom.

# 7
Below is crystalline SrRh2W at its relaxed geometry, with properties calculated at the PBEsol level.

Lattice parameters (Å, degrees): 2.8049 4.0304 6.7630 90.00 90.00 90.00
Space group Pmm2 (No. 25)
Unique sites:
Sr 0.0000 0.0000 0.0000 (multiplicity 1)
Rh 0.0000 0.0000 0.5039 (multiplicity 1)
Rh 0.5000 0.5000 0.7252 (multiplicity 1)
W 0.5000 0.5000 0.3722 (multiplicity 1)

Results
As for the density of states at the Fermi level: 0.860 states/eV per atom. As for the excess energy over the best structure of this formula in the dataset: 13.7 kJ/mol of atoms. For the total magnetic moment, the calculation gives 0.0 μB per formula unit. Its calculated volume is 76.46 Å³/cell. The calculated density comes out at 10.366 Mg/m³. The value obtained for the formation energy is 0.396 eV/atom.

# 8
Below is crystalline SrRhW2 at its relaxed geometry, with properties calculated at the PBEsol level.

Lattice parameters (Å, degrees): 2.7652 2.7652 9.3973 90.00 90.00 90.00
Space group P4/mmm (No. 123)
Unique sites:
Sr 0.0000 0.0000 0.0000 (multiplicity 1)
Rh 0.0000 0.0000 0.5000 (multiplicity 1)
W 0.5000 0.5000 0.2967 (multiplicity 2)

Results
As for the density of states at the Fermi level: 1.135 states/eV per atom. As for the excess energy over the best structure of this formula in the dataset: 20.1 kJ/mol of atoms. For the total magnetic moment, the calculation gives 0.0 μB per formula unit. Its calculated volume is 71.86 Å³/cell. The calculated density comes out at 12.900 Mg/m³. The value obtained for the formation energy is 0.729 eV/atom.

# 9
Below is crystalline SrRh2W at its relaxed geometry, with properties calculated at the PBEsol level.

Lattice parameters (Å, degrees): 6.4441 6.4441 6.4441 90.00 90.00 90.00
Space group F-43m (No. 216)
Unique sites:
Sr 0.0000 0.0000 0.0000 (multiplicity 4)
Rh 0.0000 0.0000 0.5000 (multiplicity 4)
Rh 0.2500 0.2500 0.7500 (multiplicity 4)
W 0.2500 0.2500 0.2500 (multiplicity 4)

Results
As for the density of states at the Fermi level: 1.300 states/eV per atom. As for the excess energy over the best structure of this formula in the dataset: 52.8 kJ/mol of atoms. For the total magnetic moment, the calculation gives 0.0 μB per formula unit. Its calculated volume is 267.60 Å³/cell. The calculated density comes out at 11.846 Mg/m³. The value obtained for the formation energy is 0.801 eV/atom.

# 10
Below is crystalline SrRhW2 at its relaxed geometry, with properties calculated at the PBEsol level.

Lattice parameters (Å, degrees): 2.8343 2.8343 30.5561 90.00 90.00 120.00
Space group R-3m (No. 166, hexagonal axes)
Unique sites:
Sr 0.0000 0.0000 0.0000 (multiplicity 3)
Rh 0.0000 0.0000 0.5000 (multiplicity 3)
W 0.0000 0.0000 0.2375 (multiplicity 6)

Results
As for the density of states at the Fermi level: 1.051 states/eV per atom. As for the excess energy over the best structure of this formula in the dataset: 31.4 kJ/mol of atoms. For the total magnetic moment, the calculation gives 0.0 μB per formula unit. Its calculated volume is 212.58 Å³/cell. The calculated density comes out at 13.081 Mg/m³. The value obtained for the formation energy is 0.846 eV/atom.

# 11
Below is crystalline SrRh2W at its relaxed geometry, with properties calculated at the PBEsol level.

Lattice parameters (Å, degrees): 6.9119 6.9515 2.8497 90.00 90.00 90.00
Space group Cmmm (No. 65)
Unique sites:
Sr 0.0000 0.0000 0.0000 (multiplicity 2)
Rh 0.2500 0.2500 0.5000 (multiplicity 4)
W 0.0000 0.5000 0.0000 (multiplicity 2)

Results
As for the density of states at the Fermi level: 0.889 states/eV per atom. As for the excess energy over the best structure of this formula in the dataset: 10.8 kJ/mol of atoms. For the total magnetic moment, the calculation gives 0.0 μB per formula unit. Its calculated volume is 136.92 Å³/cell. The calculated density comes out at 11.576 Mg/m³. The value obtained for the formation energy is 0.366 eV/atom.

# 12
Below is crystalline SrRh2W at its relaxed geometry, with properties calculated at the PBEsol level.

Lattice parameters (Å, degrees): 7.4307 2.8681 7.1456 90.00 93.65 90.00
Space group C2/m (No. 12)
Unique sites:
Sr 0.0000 0.0000 0.0000 (multiplicity 2)
Rh 0.2465 0.0000 0.6937 (multiplicity 4)
W 0.0000 0.5000 0.5000 (multiplicity 2)

Results
As for the density of states at the Fermi level: 0.583 states/eV per atom. As for the excess energy over the best structure of this formula in the dataset: 0.0 kJ/mol of atoms. For the total magnetic moment, the calculation gives 0.0 μB per formula unit. Its calculated volume is 151.98 Å³/cell. The calculated density comes out at 10.429 Mg/m³. The value obtained for the formation energy is 0.254 eV/atom.